[1]
Compound: AlAg3
Source: Alexandria
Functional: GGA-PBEsol
Structure: optimized geometry

```
AlAg3
1.0
4.938 0.013 0.000
-1.823 4.651 0.000
0.000 0.000 5.641
Al Ag
2 6
Cartesian
1.101 3.494 4.845 Al
2.013 1.169 0.796 Al
-0.456 1.163 2.130 Ag
-1.367 3.488 3.511 Ag
-0.456 1.163 4.993 Ag
-1.367 3.488 0.648 Ag
1.101 3.494 2.032 Ag
2.013 1.169 3.610 Ag
```

* energy of formation from the pure elements: -1.8 kcal/mol of atoms
* symmetry: P2/c (13)

=====

[2]
Compound: RbOsWCl2
Source: Alexandria
Functional: GGA-PBEsol
Structure: optimized geometry

```
RbOsWCl2
1.0
-0.211 2.933 4.641
4.587 -2.459 1.762
3.167 4.137 -2.471
Os Rb W Cl
1 1 1 2
Cartesian
3.772 2.306 1.966 Os
0.000 0.000 0.000 Rb
1.584 2.069 -1.235 W
2.293 -1.230 0.881 Cl
-0.105 1.467 2.321 Cl
```

* formation energy without anion corrections: 2.772 eV/atom
* symmetry: P4/mmm (123)

=====

[3]
Compound: Cu2P8Se3Br2
Source: Alexandria
Functional: GGA-PBEsol
Structure: optimized geometry

```
Cu2P8Se3Br2
1.0
8.690 0.000 0.000
0.000 11.971 0.000
0.000 0.000 13.741
Cu P Se Br
8 32 12 8
Cartesian
6.946 0.869 3.435 Cu
0.002 7.490 10.306 Cu
6.946 5.117 10.306 Cu
8.689 1.505 10.306 Cu
0.002 10.466 3.435 Cu
8.689 4.480 3.435 Cu
1.745 11.102 10.306 Cu
1.745 6.854 3.435 Cu
0.674 8.323 8.375 P
8.016 2.338 8.375 P
2.128 7.910 1.536 P
1.659 6.754 7.189 P
4.604 3.094 7.967 P
1.659 11.202 0.319 P
4.604 3.094 12.645 P
4.086 9.080 12.645 P
4.604 2.891 5.774 P
2.128 7.910 5.334 P
8.016 3.648 5.366 P
4.086 8.877 5.774 P
6.563 4.061 8.407 P
8.016 2.338 12.236 P
7.032 0.769 13.422 P
7.032 5.217 0.319 P
6.563 1.925 1.536 P
4.086 9.080 7.967 P
0.674 9.633 5.366 P
4.086 8.877 1.096 P
6.563 4.061 12.205 P
4.604 2.891 1.096 P
0.674 9.633 1.505 P
8.016 3.648 1.505 P
1.659 11.202 6.552 P
7.032 0.769 7.189 P
2.128 10.046 8.407 P
2.128 10.046 12.205 P
1.659 6.754 13.422 P
6.563 1.925 5.334 P
0.674 8.323 12.236 P
7.032 5.217 6.552 P
3.594 11.049 5.338 Se
7.800 8.978 6.870 Se
5.097 5.063 1.533 Se
7.800 8.978 0.000 Se
5.097 0.922 8.403 Se
3.594 6.908 8.403 Se
3.594 6.908 12.208 Se
5.097 5.063 5.338 Se
0.891 2.993 6.870 Se
3.594 11.049 1.533 Se
5.097 0.922 12.208 Se
0.891 2.993 0.000 Se
2.430 4.535 3.435 Br
7.946 11.130 10.306 Br
7.946 6.826 3.435 Br
0.745 5.144 10.306 Br
0.745 0.841 3.435 Br
6.261 7.435 10.306 Br
6.261 10.521 3.435 Br
2.430 1.450 10.306 Br
```

* formation energy without anion corrections: -0.144 eV/atom
* symmetry: Pbcm (57)

=====

[4]
Compound: NaHg3Pt
Source: Alexandria
Functional: GGA-PBEsol
Structure: optimized geometry

```
NaHg3Pt
1.0
-0.003 -1.914 4.848
-1.901 -4.514 -1.784
4.853 -1.769 -0.695
Na Hg Pt
1 3 1
Cartesian
1.475 -4.098 1.184 Na
-0.950 -2.257 -0.892 Hg
2.427 -0.884 -0.348 Hg
-0.001 -0.957 2.424 Hg
0.000 0.000 0.000 Pt
```

* energy of formation from the pure elements: -2.1 kcal/mol of atoms
* symmetry: Pm-3m (221)

=====

[5]
Compound: HfGe3Os
Source: Alexandria
Functional: GGA-PBEsol
Structure: optimized geometry

```
HfGe3Os
1.0
4.721 0.000 0.000
0.000 4.721 0.000
0.000 0.000 4.721
Hf Ge Os
1 3 1
Cartesian
2.360 2.360 2.360 Hf
0.000 2.360 0.000 Ge
0.000 0.000 2.360 Ge
2.360 0.000 0.000 Ge
0.000 0.000 0.000 Os
```

* energy of formation from the pure elements: 16.6 kcal/mol of atoms
* symmetry: Pm-3m (221)

=====

[6]
Compound: Cs2AlZnHg
Source: Alexandria
Functional: GGA-PBEsol
Structure: optimized geometry

```
Cs2AlZnHg
1.0
-2.596 1.851 3.755
-5.828 0.151 -4.104
-1.657 -6.605 2.111
Cs Zn Hg Al
2 1 1 1
Cartesian
-0.829 -3.303 1.055 Cs
-2.914 0.075 -2.052 Cs
-5.040 -2.302 0.881 Zn
0.000 0.000 0.000 Hg
-1.298 0.925 1.877 Al
```

* energy of formation from the pure elements: 7.2 kcal/mol of atoms
* symmetry: P4/mmm (123)

=====

[7]
Compound: Ti3AsO
Source: Alexandria
Functional: GGA-PBEsol
Structure: optimized geometry

```
Ti3AsO
1.0
-0.871 3.918 -0.524
-0.588 0.402 3.985
3.909 0.934 0.483
As O Ti
1 1 3
Cartesian
1.225 2.627 1.972 As
0.000 0.000 0.000 O
-0.294 0.201 1.992 Ti
1.955 0.467 0.241 Ti
-0.436 1.959 -0.262 Ti
```

* formation energy without anion corrections: -1.309 eV/atom
* symmetry: Pm-3m (221)

=====

[8]
Compound: Ba2ScPdO
Source: Alexandria
Functional: GGA-PBEsol
Structure: optimized geometry

```
Ba2ScPdO
1.0
4.537 0.000 0.000
0.000 6.018 0.000
0.000 0.000 6.018
Sc O Ba Pd
1 1 2 1
Cartesian
0.000 0.000 0.000 Sc
2.268 3.009 3.009 O
0.000 0.000 3.009 Ba
0.000 3.009 0.000 Ba
2.268 0.000 0.000 Pd
```

* formation energy without anion corrections: 0.373 eV/atom
* symmetry: P4/mmm (123)

=====

[9]
Compound: CsSc2ZnRh
Source: Alexandria
Functional: GGA-PBEsol
Structure: optimized geometry

```
CsSc2ZnRh
1.0
-2.132 3.130 -3.315
-4.606 -1.480 1.565
-0.001 3.697 3.491
Cs Sc Zn Rh
1 2 1 1
Cartesian
0.000 0.000 0.000 Cs
-0.001 1.848 1.745 Sc
-2.303 -0.740 0.783 Sc
-1.066 1.565 -1.658 Zn
-3.370 2.673 0.870 Rh
```

* energy of formation from the pure elements: 44.4 kcal/mol of atoms
* symmetry: P4/mmm (123)

=====

[10]
Compound: Ta2TlTc
Source: Alexandria
Functional: GGA-PBEsol
Structure: optimized geometry

```
Ta2TlTc
1.0
-0.151 -2.129 3.389
3.981 0.269 0.347
-2.362 4.597 0.415
Ta Tc Tl
2 1 1
Cartesian
0.000 0.000 0.000 Ta
-0.299 0.769 2.836 Ta
1.915 -0.930 1.868 Tc
1.767 1.968 1.315 Tl
```

* energy relative to the lowest polymorph listed for this composition: 89 meV per atom
* energy of formation from the pure elements: 8.1 kcal/mol of atoms
* symmetry: I-4m2 (119)

=====

[11]
Compound: Sb3Pb5
Source: Alexandria
Functional: GGA-PBEsol
Structure: optimized geometry

```
Sb3Pb5
1.0
6.616 0.000 0.000
0.000 9.417 0.000
0.000 -4.708 8.155
Pb Sb
10 6
Cartesian
0.000 4.708 2.718 Pb
3.308 0.000 5.437 Pb
0.000 0.000 5.437 Pb
3.308 4.708 2.718 Pb
4.962 3.279 5.679 Pb
1.654 1.430 2.476 Pb
4.962 -1.430 2.476 Pb
4.962 2.859 0.000 Pb
1.654 6.558 0.000 Pb
1.654 -3.279 5.679 Pb
4.962 1.722 2.983 Sb
1.654 2.986 5.172 Sb
4.962 -2.986 5.172 Sb
4.962 5.973 0.000 Sb
1.654 3.444 0.000 Sb
1.654 -1.722 2.983 Sb
```

* formation energy without anion corrections: 0.041 eV/atom
* symmetry: P6_3/mcm (193)

=====

[12]
Compound: Sr2CoIr
Source: Alexandria
Functional: GGA-PBEsol
Structure: optimized geometry

```
Sr2CoIr
1.0
-3.265 0.350 -0.890
0.875 -0.179 -3.283
-0.981 -8.618 0.209
Co Ir Sr
1 1 2
Cartesian
-0.578 -5.080 0.123 Co
-1.847 -5.641 -1.947 Ir
-0.895 -7.860 0.191 Sr
-1.523 -2.794 -2.016 Sr
```

* energy of formation from the pure elements: 6.2 kcal/mol of atoms
* symmetry: P4mm (99)

=====

We obtain size of the total moment values of 0.0, 9.1, 0.0, 0.0, 0.0, 0.0, 1.3, 0.6, 0.9, 0.0, 0.0, 1.6 μB/f.u. for the records listed above, in that order.
We obtain DFT total energy values of -28.7, -17.2, -289.8, -10.5, -33.9, -6.6, -41.9, -20.2, -14.2, -37.6, -66.7, -20.2 eV/cell for the records listed above, in that order.